A:
First-principles (PBE-GGA) data for RbVCu2 after structural relaxation, as listed in Alexandria.

Cell and atoms, written as CIF:
```
data_RbVCu2
_chemical_formula_sum 'Rb4 V4 Cu8'
_symmetry_space_group_name_H-M 'F m -3 m'
_symmetry_Int_Tables_number 225
_symmetry_space_group_name_Hall '-F 4 2 3'
_cell_length_a 7.049
_cell_length_b 7.049
_cell_length_c 7.049
_cell_angle_alpha 90.00
_cell_angle_beta 90.00
_cell_angle_gamma 90.00
loop_
_atom_site_label
_atom_site_type_symbol
_atom_site_fract_x
_atom_site_fract_y
_atom_site_fract_z
Rb1 Rb 0.000 0.000 0.000
V1 V 0.000 0.000 0.500
Cu1 Cu 0.250 0.250 0.250
```



B:
First-principles (PBE-GGA) data for RbVCu2 after structural relaxation, as listed in Alexandria.

Cell and atoms, written as CIF:
```
data_RbVCu2
_chemical_formula_sum 'Rb4 V4 Cu8'
_symmetry_space_group_name_H-M 'I 41/a m d'
_symmetry_Int_Tables_number 141
_cell_length_a 5.117
_cell_length_b 5.117
_cell_length_c 17.378
_cell_angle_alpha 90.00
_cell_angle_beta 90.00
_cell_angle_gamma 90.00
loop_
_symmetry_equiv_pos_as_xyz
'x,y,z'
'-x,-y,-z'
'-y+1/4,x+3/4,z+1/4'
'y+1/4,-x+3/4,-z+1/4'
'-x+1/2,-y,z+1/2'
'x+1/2,y,-z+1/2'
'y+1/4,-x+1/4,z+3/4'
'-y+1/4,x+1/4,-z+3/4'
'x,-y,-z'
'-x,y,z'
'-y+1/4,-x+1/4,-z+3/4'
'y+1/4,x+1/4,z+3/4'
'-x+1/2,y,-z+1/2'
'x+1/2,-y,z+1/2'
'y+1/4,x+3/4,-z+1/4'
'-y+1/4,-x+3/4,z+1/4'
'x+1/2,y+1/2,z+1/2'
'-x+1/2,-y+1/2,-z+1/2'
'-y+3/4,x+1/4,z+3/4'
'y+3/4,-x+1/4,-z+3/4'
'-x,-y+1/2,z'
'x,y+1/2,-z'
'y+3/4,-x+3/4,z+1/4'
'-y+3/4,x+3/4,-z+1/4'
'x+1/2,-y+1/2,-z+1/2'
'-x+1/2,y+1/2,z+1/2'
'-y+3/4,-x+3/4,-z+1/4'
'y+3/4,x+3/4,z+1/4'
'-x,y+1/2,-z'
'x,-y+1/2,z'
'y+3/4,x+1/4,-z+3/4'
'-y+3/4,-x+1/4,z+3/4'
loop_
_atom_site_label
_atom_site_type_symbol
_atom_site_fract_x
_atom_site_fract_y
_atom_site_fract_z
Rb1 Rb 0.000 0.250 0.375
V1 V 0.000 0.250 0.875
Cu1 Cu 0.000 0.000 0.000
```



Short version: A is the least stable of them.



A:
First-principles (PBE-GGA) data for Rb2VCu after structural relaxation, as listed in Alexandria.

Cell and atoms, written as CIF:
```
data_Rb2VCu
_chemical_formula_sum 'Rb8 V4 Cu4'
_symmetry_space_group_name_H-M 'I -4 2 d'
_symmetry_Int_Tables_number 122
_symmetry_space_group_name_Hall 'I -4 2bw'
_cell_length_a 12.880
_cell_length_b 12.880
_cell_length_c 4.891
_cell_angle_alpha 90.00
_cell_angle_beta 90.00
_cell_angle_gamma 90.00
loop_
_atom_site_label
_atom_site_type_symbol
_atom_site_fract_x
_atom_site_fract_y
_atom_site_fract_z
Rb1 Rb 0.079 0.250 0.125
V1 V 0.000 0.000 0.500
Cu1 Cu 0.000 0.000 0.000
```



B:
First-principles (PBE-GGA) data for Rb2VCu after structural relaxation, as listed in Alexandria.

Cell and atoms, written as CIF:
```
data_Rb2VCu
_chemical_formula_sum 'Rb8 V4 Cu4'
_symmetry_space_group_name_H-M 'F m -3 m'
_symmetry_Int_Tables_number 225
_symmetry_space_group_name_Hall '-F 4 2 3'
_cell_length_a 8.563
_cell_length_b 8.563
_cell_length_c 8.563
_cell_angle_alpha 90.00
_cell_angle_beta 90.00
_cell_angle_gamma 90.00
loop_
_atom_site_label
_atom_site_type_symbol
_atom_site_fract_x
_atom_site_fract_y
_atom_site_fract_z
Rb1 Rb 0.250 0.250 0.250
V1 V 0.000 0.000 0.000
Cu1 Cu 0.000 0.000 0.500
```



Short version: B is the least stable of them.



A:
First-principles (PBE-GGA) data for RbV3Cu after structural relaxation, as listed in Alexandria.

Cell and atoms, written as CIF:
```
data_RbV3Cu
_chemical_formula_sum 'Rb1 V3 Cu1'
_symmetry_space_group_name_H-M 'P m -3 m'
_symmetry_Int_Tables_number 221
_symmetry_space_group_name_Hall '-P 4 2 3'
_cell_length_a 4.937
_cell_length_b 4.937
_cell_length_c 4.937
_cell_angle_alpha 90.00
_cell_angle_beta 90.00
_cell_angle_gamma 90.00
loop_
_atom_site_label
_atom_site_type_symbol
_atom_site_fract_x
_atom_site_fract_y
_atom_site_fract_z
Rb1 Rb 0.000 0.000 0.000
V1 V 0.000 0.500 0.500
Cu1 Cu 0.500 0.500 0.500
```



B:
First-principles (PBE-GGA) data for RbV3Cu after structural relaxation, as listed in Alexandria.

Cell and atoms, written as CIF:
```
data_RbV3Cu
_chemical_formula_sum 'Rb1 V3 Cu1'
_symmetry_space_group_name_H-M 'P m -3 m'
_symmetry_Int_Tables_number 221
_symmetry_space_group_name_Hall '-P 4 2 3'
_cell_length_a 4.466
_cell_length_b 4.466
_cell_length_c 4.466
_cell_angle_alpha 90.00
_cell_angle_beta 90.00
_cell_angle_gamma 90.00
loop_
_atom_site_label
_atom_site_type_symbol
_atom_site_fract_x
_atom_site_fract_y
_atom_site_fract_z
Rb1 Rb 0.000 0.000 0.000
V1 V 0.000 0.000 0.500
Cu1 Cu 0.500 0.500 0.500
```



Short version: B is the least stable of them.



A:
First-principles (PBE-GGA) data for Rb2CuW2 after structural relaxation, as listed in Alexandria.

Cell and atoms, written as CIF:
```
data_Rb2CuW2
_chemical_formula_sum 'Rb4 Cu2 W4'
_symmetry_space_group_name_H-M 'I 4/m m m'
_symmetry_Int_Tables_number 139
_symmetry_space_group_name_Hall '-I 4 2'
_cell_length_a 3.610
_cell_length_b 3.610
_cell_length_c 23.190
_cell_angle_alpha 90.00
_cell_angle_beta 90.00
_cell_angle_gamma 90.00
loop_
_atom_site_label
_atom_site_type_symbol
_atom_site_fract_x
_atom_site_fract_y
_atom_site_fract_z
Rb1 Rb 0.000 0.000 0.101
Cu1 Cu 0.000 0.000 0.500
W1 W 0.000 0.500 0.250
```



B:
First-principles (PBE-GGA) data for Rb2CuW2 after structural relaxation, as listed in Alexandria.

Cell and atoms, written as CIF:
```
data_Rb2CuW2
_chemical_formula_sum 'Rb4 Cu2 W4'
_symmetry_space_group_name_H-M 'P 4/m b m'
_symmetry_Int_Tables_number 127
_symmetry_space_group_name_Hall '-P 4 2ab'
_cell_length_a 10.899
_cell_length_b 10.899
_cell_length_c 2.887
_cell_angle_alpha 90.00
_cell_angle_beta 90.00
_cell_angle_gamma 90.00
loop_
_atom_site_label
_atom_site_type_symbol
_atom_site_fract_x
_atom_site_fract_y
_atom_site_fract_z
Rb1 Rb 0.210 0.290 0.000
Cu1 Cu 0.000 0.000 0.000
W1 W 0.072 0.572 0.500
```



Short version: B is the least stable of them.



A:
First-principles (PBE-GGA) data for RbCuW2 after structural relaxation, as listed in Alexandria.

Cell and atoms, written as CIF:
```
data_RbCuW2
_chemical_formula_sum 'Rb4 Cu4 W8'
_symmetry_space_group_name_H-M 'F m -3 m'
_symmetry_Int_Tables_number 225
_symmetry_space_group_name_Hall '-F 4 2 3'
_cell_length_a 6.526
_cell_length_b 6.526
_cell_length_c 6.526
_cell_angle_alpha 90.00
_cell_angle_beta 90.00
_cell_angle_gamma 90.00
loop_
_atom_site_label
_atom_site_type_symbol
_atom_site_fract_x
_atom_site_fract_y
_atom_site_fract_z
Rb1 Rb 0.000 0.000 0.000
Cu1 Cu 0.000 0.000 0.500
W1 W 0.250 0.250 0.250
```



B:
First-principles (PBE-GGA) data for RbCuW2 after structural relaxation, as listed in Alexandria.

Cell and atoms, written as CIF:
```
data_RbCuW2
_chemical_formula_sum 'Rb4 Cu4 W8'
_symmetry_space_group_name_H-M 'I -4 2 d'
_symmetry_Int_Tables_number 122
_symmetry_space_group_name_Hall 'I -4 2bw'
_cell_length_a 4.821
_cell_length_b 4.821
_cell_length_c 18.862
_cell_angle_alpha 90.00
_cell_angle_beta 90.00
_cell_angle_gamma 90.00
loop_
_atom_site_label
_atom_site_type_symbol
_atom_site_fract_x
_atom_site_fract_y
_atom_site_fract_z
Rb1 Rb 0.000 0.000 0.000
Cu1 Cu 0.000 0.000 0.500
W1 W 0.019 0.750 0.625
```



Short version: A is the least stable of them.



A:
First-principles (PBE-GGA) data for Rb3YCu after structural relaxation, as listed in Alexandria.

Cell and atoms, written as CIF:
```
data_Rb3YCu
_chemical_formula_sum 'Rb3 Y1 Cu1'
_symmetry_space_group_name_H-M 'P m -3 m'
_symmetry_Int_Tables_number 221
_symmetry_space_group_name_Hall '-P 4 2 3'
_cell_length_a 7.555
_cell_length_b 7.555
_cell_length_c 7.555
_cell_angle_alpha 90.00
_cell_angle_beta 90.00
_cell_angle_gamma 90.00
loop_
_atom_site_label
_atom_site_type_symbol
_atom_site_fract_x
_atom_site_fract_y
_atom_site_fract_z
Rb1 Rb 0.000 0.000 0.500
Y1 Y 0.000 0.000 0.000
Cu1 Cu 0.500 0.500 0.500
```



B:
First-principles (PBE-GGA) data for Rb3YCu after structural relaxation, as listed in Alexandria.

Cell and atoms, written as CIF:
```
data_Rb3YCu
_chemical_formula_sum 'Rb3 Y1 Cu1'
_symmetry_space_group_name_H-M 'P m -3 m'
_symmetry_Int_Tables_number 221
_symmetry_space_group_name_Hall '-P 4 2 3'
_cell_length_a 6.616
_cell_length_b 6.616
_cell_length_c 6.616
_cell_angle_alpha 90.00
_cell_angle_beta 90.00
_cell_angle_gamma 90.00
loop_
_atom_site_label
_atom_site_type_symbol
_atom_site_fract_x
_atom_site_fract_y
_atom_site_fract_z
Rb1 Rb 0.000 0.000 0.500
Y1 Y 0.500 0.500 0.500
Cu1 Cu 0.000 0.000 0.000
```



Short version: A is the least stable of them.